# 1
VASP calculation (PBE-GGA) on a geometry-optimized K3RbCd2Pb2 structure.

abc: 7.0434 6.6418 7.1197
angles: 90.00 104.23 90.00
With the nearest neighbours (Å) after each atom.
Space group Pm (No. 6)
Symmetry-distinct sites (fractional):
K 0.0000 0.0000 0.0000 x1  4 Pb 3.73-3.91, 1 Rb 3.92, 2 Cd 4.00, 2 K 4.10
K 0.2979 0.5000 0.2952 x1  4 Pb 3.81-3.93, 3 K 3.91-4.20, 4 Cd 3.97-4.20, 2 Rb 4.14
K 0.6503 0.5000 0.9487 x1  4 Pb 3.76-3.89, 3 K 3.91-4.10, 4 Cd 4.00-4.20
Rb 0.3524 0.0000 0.6518 x1  4 Pb 3.79-3.92, 5 K 3.92-4.21, 4 Cd 3.99-4.17
Cd 0.8232 0.2504 0.4742 x2  2 Pb 2.90
Pb 0.0959 0.5000 0.7476 x1  2 Cd 2.90
Pb 0.5558 0.0000 0.1963 x1  2 Cd 2.90

## Properties
**E_tot**: -14.93 eV per cell

***

# 2
VASP calculation (PBE-GGA) on a geometry-optimized TmCd2SbO6 structure.

abc: 9.7683 5.7767 9.7094
angles: 90.00 110.34 90.00
With the nearest neighbours (Å) after each atom.
Space group C2/c (No. 15)
Symmetry-distinct sites (fractional):
Tm 0.0000 0.2422 0.2500 x4  6 O 2.18-2.24
Cd 0.1381 0.2732 0.6378 x8  5 O 2.19-2.44
Sb 0.2500 0.2500 0.0000 x4  6 O 1.98-2.02
O 0.0657 0.2569 0.0505 x8  1 Sb 2.02, 1 Cd 2.19, 1 Tm 2.24
O 0.1639 0.0265 0.8378 x8  1 Sb 1.98, 1 Tm 2.18
O 0.1734 0.4928 0.3563 x8  1 Sb 2.00, 1 Tm 2.19

## Properties
**E_tot**: -235.28 eV per cell
**Total moment**: 0.0 μB per formula unit